Y2Zn7Ga: relaxed, PBE.

Output
Formation energy from the elements (eV/atom): -0.338
Crystal system: tetragonal

Lattice parameters (Å, degrees): 4.1327 4.1327 10.7065 90.00 90.00 90.00
Space group P-4m2 (No. 115)
Asymmetric unit:
Y1 0.0000 0.5000 0.2490 [2 per cell]
Zn1 0.0000 0.0000 0.0000 [1 per cell]
Zn2 0.0000 0.0000 0.5000 [1 per cell]
Zn3 0.0000 0.5000 0.6362 [2 per cell]
Zn4 0.0000 0.5000 0.8618 [2 per cell]
Zn5 0.5000 0.5000 0.5000 [1 per cell]
Ga1 0.5000 0.5000 0.0000 [1 per cell]